First-principles (PBE) data for a geometry-optimized Cr2RuI structure, as listed in Alexandria via LeMat-Bulk.

Values from the calculation:
E above lowest polymorph: 0.0 meV/atom
Uncorrected formation energy: 3.85 eV/f.u.
V: 14.71 Å³/atom
Theoretical density: 9.4 g/cm³
DOS(E_F): 4.72 states/eV/cell
Magnetization: 0.000 μB/cell
Space group: Fm-3m (225)

a = 4.3655 Å, b = 4.3655 Å, c = 4.3655 Å
α = 60.00°, β = 60.00°, γ = 60.00°
Sites, in units of the cell vectors:
Cr 0.2500 0.2500 0.2500
Cr 0.7500 0.7500 0.7500
Ru 0.0000 0.0000 0.0000
I 0.5000 0.5000 0.5000